Entry from Alexandria: crystalline Ba3Tl2As2Pd4 at its relaxed geometry (PBE-GGA).

## Properties
- Calculated total energy: -4.307 eV/atom
- Formation energy from the elements: -0.62 eV per atom

Unit cell a=4.5680 b=4.5680 c=16.8670 alpha=90.00 beta=90.00 gamma=120.00
Closest atoms and distances in Å follow each position.
Space group P-3m1 (No. 164)
Asymmetric unit:
Ba 0.0000 0.0000 0.0000 [1 per cell]  6 Pd 3.49, 6 As 3.53
Ba 0.0000 0.0000 0.2647 [2 per cell]  3 As 3.38, 6 Pd 3.41-3.42
Tl 0.3333 0.6667 0.5645 [2 per cell]  4 Pd 2.73-2.90
As 0.3333 0.6667 0.1393 [2 per cell]  3 Pd 2.64
Pd 0.3333 0.6667 0.3928 [2 per cell]  4 Tl 2.73-2.90
Pd 0.3333 0.6667 0.8642 [2 per cell]  3 As 2.64